Record 1
GGA-PBEsol Nb18P3O50, optimized geometry; theoretical density = 4.3 g cm⁻³; E_tot = -9.112 eV/atom; formation energy from raw total energies = -2.427 eV/atom
1.0
7.6652 0.0000 0.0000
2.1695 11.3283 0.0000
2.2700 -0.0003 11.3172
Nb P O
18 3 50
Cartesian
0.0000 0.0000 0.0000 Nb
2.1484 5.8973 5.0039 Nb
2.1108 2.3071 6.3964 Nb
4.3511 9.9743 7.7112 Nb
4.0604 8.6798 0.9502 Nb
3.9988 5.0816 2.2951 Nb
3.9423 1.5271 3.7073 Nb
6.2431 7.2714 8.6839 Nb
6.0687 3.6380 10.0160 Nb
3.8327 0.0534 0.1418 Nb
6.0113 5.7963 5.0926 Nb
5.9735 2.2165 6.4265 Nb
8.1476 9.9907 7.8964 Nb
7.8945 8.5883 0.8768 Nb
7.8392 4.9354 2.3423 Nb
7.7877 1.3242 3.6789 Nb
10.0938 7.2482 8.6107 Nb
9.9025 3.6432 10.0210 Nb
5.0957 8.9140 4.2408 P
7.0740 9.7725 3.9521 P
9.0203 9.2459 4.7530 P
2.2139 2.8819 8.1451 O
1.9611 4.0895 5.6387 O
2.1306 9.2346 0.9530 O
2.0950 5.3442 2.8197 O
4.5395 10.5632 9.5440 O
2.1194 0.3415 7.0241 O
2.0672 1.3708 4.2928 O
4.3434 7.7472 8.3110 O
4.2078 3.6812 10.0029 O
4.5098 9.2539 5.6075 O
4.0762 10.8411 0.3870 O
4.3467 9.4083 2.9992 O
3.9736 5.6180 4.5293 O
4.0830 6.9825 1.7002 O
4.0062 2.1002 5.8855 O
6.1477 8.0347 10.4693 O
3.9162 3.2720 3.0815 O
3.8855 4.4361 0.5781 O
6.2841 9.3749 7.8262 O
5.5177 7.4543 4.0771 O
6.1932 5.5168 9.2437 O
3.8528 0.6910 2.0538 O
6.0986 1.7872 10.8320 O
6.2406 6.6545 6.6987 O
6.7064 11.1129 4.6042 O
6.1049 2.8225 8.1722 O
5.8981 4.0411 5.7433 O
5.9412 9.1268 0.6238 O
8.1605 10.6528 9.6375 O
5.9339 5.1056 2.8254 O
5.8787 0.2965 7.0308 O
5.9768 1.7463 4.1924 O
8.1781 7.7907 8.5592 O
7.4868 9.8065 2.4830 O
8.0411 3.6714 10.0751 O
8.5627 8.9962 6.1879 O
7.9109 10.8807 0.1568 O
7.8414 5.7875 4.4392 O
7.8273 6.9821 1.7403 O
7.8471 1.9591 5.9176 O
10.2583 7.9934 10.4220 O
10.1686 9.4871 8.0167 O
8.0096 3.1574 3.0627 O
9.7168 10.5846 4.4831 O
7.7705 4.4213 0.5740 O
10.0163 5.5148 9.2220 O
7.6562 0.6263 1.9968 O
9.6629 7.9644 4.2125 O
9.9759 6.6544 6.6856 O
9.9844 1.7620 10.7643 O



Record 2
GGA-PBEsol Nb5P7O30, optimized geometry; theoretical density = 3.3 g cm⁻³; E_tot = -8.368 eV/atom; formation energy from raw total energies = -2.365 eV/atom
1.0
15.1017 -4.4079 0.0000
15.1017 4.4079 0.0000
-0.2661 0.0000 8.8758
Nb P O
10 14 60
Cartesian
7.5509 2.2040 0.0000 Nb
10.0569 2.1402 3.9243 Nb
13.4050 2.2328 8.5274 Nb
16.3993 2.2328 4.7863 Nb
20.0134 2.1402 0.5136 Nb
7.4178 -2.2040 4.4379 Nb
9.9239 -2.1402 8.3622 Nb
13.5381 -2.2328 4.0895 Nb
16.5323 -2.2328 0.3484 Nb
19.8804 -2.1402 4.9515 Nb
13.1404 3.4447 5.3662 P
16.6639 3.4447 7.9475 P
6.0468 0.1961 2.4136 P
5.9138 -0.1961 6.8515 P
10.7235 0.9355 0.8212 P
10.5904 -0.9355 5.2591 P
15.0352 0.2490 2.2189 P
14.9021 -0.2490 6.6568 P
19.3469 0.9355 3.6167 P
19.2138 -0.9355 8.0546 P
24.0236 0.1961 2.0243 P
23.8905 -0.1961 6.4622 P
13.2734 -3.4447 0.9283 P
16.7969 -3.4447 3.5096 P
13.3586 3.8201 0.7660 O
5.3563 1.1294 3.3923 O
12.8718 3.1771 6.8819 O
12.1051 2.8545 4.4738 O
4.8390 0.5855 6.0944 O
8.4690 1.5390 3.5836 O
6.8545 1.0288 1.3930 O
16.7118 3.8201 3.6719 O
9.3838 1.4838 0.2862 O
6.8774 0.7896 7.5493 O
14.5498 2.8764 5.0626 O
15.2545 2.8764 8.2511 O
16.9325 3.1771 6.4318 O
11.5856 1.5982 8.8399 O
10.9579 1.2932 2.2811 O
4.9720 -0.5855 1.6565 O
17.6992 2.8545 8.8399 O
10.6793 0.5701 5.0591 O
5.2233 -1.1294 7.8302 O
7.0104 -0.7896 3.1114 O
14.3028 1.1535 1.2121 O
6.7215 -1.0288 5.8309 O
15.7675 1.1535 3.2258 O
13.8706 0.6347 7.3761 O
10.8124 -0.5701 0.6212 O
18.2186 1.5982 4.4738 O
8.3360 -1.5390 8.0215 O
15.9337 0.6347 5.9376 O
9.2507 -1.4838 4.7241 O
19.1125 1.2932 2.1568 O
10.8249 -1.2932 6.7190 O
20.6866 1.4838 4.1517 O
14.0036 -0.6347 2.9382 O
21.6013 1.5390 0.8543 O
11.7187 -1.5982 4.4020 O
19.1249 0.5701 8.2546 O
16.0667 -0.6347 1.4997 O
14.1698 -1.1535 5.6500 O
23.2159 1.0288 3.0449 O
15.6345 -1.1535 7.6637 O
22.9269 0.7896 5.7644 O
24.7141 1.1294 1.0456 O
19.2580 -0.5701 3.8167 O
12.2382 -2.8545 0.0359 O
24.9653 0.5855 7.2193 O
18.9794 -1.2932 6.5947 O
18.3517 -1.5982 0.0359 O
13.0048 -3.1771 2.4440 O
14.6828 -2.8764 0.6247 O
15.3876 -2.8764 3.8132 O
23.0599 -0.7896 1.3265 O
20.5535 -1.4838 8.5896 O
13.2255 -3.8201 5.2039 O
23.0828 -1.0288 7.4828 O
21.4683 -1.5390 5.2922 O
25.0983 -0.5855 2.7814 O
17.8322 -2.8545 4.4020 O
17.0655 -3.1771 1.9939 O
24.5810 -1.1294 5.4835 O
16.5788 -3.8201 8.1098 O



Record 3
GGA-PBEsol NbPO5, optimized geometry; theoretical density = 3.3 g cm⁻³; E_tot = -8.553 eV/atom; formation energy from raw total energies = -2.431 eV/atom; relative energy among the computed polymorphs = 0.0 kJ per mole of atoms
1.0
13.2284 0.0000 0.0000
0.0000 5.3786 0.0000
-6.8373 0.0000 11.6178
Nb P O
8 8 40
Cartesian
-0.5136 1.3261 2.2889 Nb
-3.9323 1.3632 8.0978 Nb
4.8593 4.0189 1.5540 Nb
1.4406 4.0490 7.3629 Nb
4.9505 1.3296 4.2549 Nb
1.5318 1.3597 10.0638 Nb
10.3234 4.0154 3.5200 Nb
6.9047 4.0525 9.3290 Nb
1.4094 3.9813 1.0527 P
-2.0093 4.0866 6.8616 P
-1.8271 1.3086 10.8875 P
1.5916 1.3807 5.0786 P
4.7995 3.9979 6.5392 P
8.2182 4.0700 0.7303 P
8.4004 1.2920 4.7562 P
4.9817 1.3973 10.5651 P
-1.5910 2.8191 2.8216 O
-5.0096 5.2488 8.6305 O
-2.0626 3.9810 5.3266 O
-5.4813 4.0869 11.1355 O
-2.7902 2.9334 7.4928 O
0.6285 5.1345 1.6839 O
-2.5492 0.0636 7.3137 O
0.8695 2.6257 1.5048 O
-2.9086 1.3406 9.7900 O
0.5100 1.3487 3.9811 O
-0.5323 3.9675 7.2902 O
2.8863 4.1004 1.4813 O
1.3507 0.2146 6.0372 O
4.7694 2.4747 0.2282 O
1.5131 2.7232 5.8050 O
-1.9055 5.3447 11.6139 O
2.9632 1.2252 4.3967 O
-0.4555 1.4641 10.2056 O
4.9576 0.0976 2.7921 O
1.5389 2.5917 8.6010 O
4.8522 2.7869 3.0168 O
1.4335 5.2810 8.8257 O
6.8466 3.9145 1.4122 O
3.4279 4.1534 7.2211 O
8.2966 0.0339 0.0039 O
4.8780 2.6554 5.8128 O
1.6217 2.9039 11.3896 O
5.0404 5.1640 5.5807 O
3.5048 1.2782 10.1365 O
6.9234 1.4111 4.3276 O
5.8811 4.0299 7.6367 O
9.2997 4.0380 1.8278 O
5.5216 2.7529 10.1130 O
8.9403 5.3150 4.3041 O
5.7626 0.2441 9.9340 O
9.1813 2.4452 4.1250 O
11.8724 1.2917 0.4823 O
8.4537 1.3976 6.2912 O
11.4007 0.1298 2.9873 O
7.9821 2.5595 8.7962 O



Record 4
GGA-PBEsol NbPO3, optimized geometry; theoretical density = 5.5 g cm⁻³; E_tot = -7.084 eV/atom; formation energy from raw total energies = -0.612 eV/atom
1.0
3.7241 0.0000 0.0000
0.0000 3.7241 0.0000
0.0000 0.0000 3.7241
Nb P O
1 1 3
Cartesian
0.0000 0.0000 0.0000 Nb
1.8621 1.8621 1.8621 P
0.0000 1.8621 1.8621 O
1.8621 0.0000 1.8621 O
1.8621 1.8621 0.0000 O